No. 1
This record from Alexandria via LeMat-Bulk describes a relaxed BS2Cl crystal. The functional is GGA-PBE.

Unit cell a=3.2582 b=3.2582 c=20.8516 alpha=90.00 beta=90.00 gamma=120.00
Last column: nearest neighbours and their distance in Å.
Fractional coordinates of all 12 atoms:
1 B 0.0000 0.0000 0.0000  6 S 2.19
2 B 0.3333 0.6667 0.6667  6 S 2.19
3 B 0.6667 0.3333 0.3333  6 S 2.19
4 S 0.0000 0.0000 0.3868  3 B 2.19, 1 Cl 2.36
5 S 0.0000 0.0000 0.6132  3 B 2.19, 1 Cl 2.36
6 S 0.3333 0.6667 0.0535  3 B 2.19, 1 Cl 2.36
7 S 0.3333 0.6667 0.2798  3 B 2.19, 1 Cl 2.36
8 S 0.6667 0.3333 0.7202  3 B 2.19, 1 Cl 2.36
9 S 0.6667 0.3333 0.9465  3 B 2.19, 1 Cl 2.36
10 Cl 0.0000 0.0000 0.5000  2 S 2.36
11 Cl 0.3333 0.6667 0.1667  2 S 2.36
12 Cl 0.6667 0.3333 0.8333  2 S 2.36

Results
For the uncorrected formation energy, the calculation gives 1.6 eV per formula unit. For the polymorph energy (0 for the lowest one), the calculation gives 17 kJ/mol of formula units.

No. 2
This record from Alexandria via LeMat-Bulk describes a relaxed BS6Cl2 crystal. The functional is GGA-PBE.

Unit cell a=8.4917 b=9.3599 c=11.4784 alpha=90.00 beta=128.24 gamma=90.00
Last column: nearest neighbours and their distance in Å.
Fractional coordinates of all 18 atoms:
1 B 0.0000 0.0000 0.0000  2 S 1.68
2 B 0.0000 0.5000 0.5000  2 S 1.68
3 S 0.0355 0.1353 0.6434  1 S 1.92, 1 Cl 2.09
4 S 0.0355 0.3647 0.1434  1 S 1.92, 1 Cl 2.09
5 S 0.0346 0.7224 0.7426  1 S 1.92
6 S 0.0346 0.7776 0.2426  1 S 1.92
7 S 0.1813 0.5402 0.6794  1 B 1.68
8 S 0.1813 0.9598 0.1794  1 B 1.68
9 S 0.8187 0.0402 0.8206  1 B 1.68
10 S 0.8187 0.4598 0.3206  1 B 1.68
11 S 0.9654 0.2224 0.7574  1 S 1.92
12 S 0.9654 0.2776 0.2574  1 S 1.92
13 S 0.9645 0.6353 0.8566  1 S 1.92, 1 Cl 2.09
14 S 0.9645 0.8647 0.3566  1 S 1.92, 1 Cl 2.09
15 Cl 0.3363 0.0709 0.7800  1 S 2.09
16 Cl 0.3363 0.4291 0.2800  1 S 2.09
17 Cl 0.6637 0.5709 0.7200  1 S 2.09
18 Cl 0.6637 0.9291 0.2200  1 S 2.09

Results
For the uncorrected formation energy, the calculation gives 0.4 eV per formula unit.

Number 1: theoretical density 2.9 g cm⁻³. Number 2: theoretical density 1.3 g cm⁻³.